Co2AsHO5 | Alexandria via LeMat-Bulk | GGA-PBEsol | optimized geometry; calculated total energy = -233.239 eV/cell; mass density = 4451 kg/m³
1.0
5.9209 0.0000 0.0000
0.0000 7.9899 0.0000
0.0000 0.0000 8.6360
Co As H O
8 4 4 20
direct
0.7268 0.5000 0.5000 Co
0.7732 0.0000 0.0000 Co
0.2732 0.5000 0.5000 Co
0.2268 0.0000 0.0000 Co
0.5000 0.6400 0.1296 Co
0.5000 0.3600 0.8704 Co
0.0000 0.1400 0.3704 Co
0.0000 0.8600 0.6296 Co
0.0000 0.7459 0.2539 As
0.0000 0.2541 0.7461 As
0.5000 0.2459 0.2461 As
0.5000 0.7541 0.7539 As
0.5000 0.7355 0.4109 H
0.5000 0.2645 0.5891 H
0.0000 0.2355 0.0891 H
0.0000 0.7645 0.9109 H
0.0000 0.5604 0.3534 O
0.0000 0.4396 0.6466 O
0.5000 0.0604 0.1466 O
0.5000 0.9396 0.8534 O
0.5000 0.6234 0.3641 O
0.5000 0.3766 0.6359 O
0.0000 0.1234 0.1359 O
0.0000 0.8766 0.8641 O
0.0000 0.9003 0.3934 O
0.0000 0.0997 0.6066 O
0.5000 0.4003 0.1066 O
0.5000 0.5997 0.8934 O
0.7751 0.7696 0.1267 O
0.7751 0.2304 0.8733 O
0.7249 0.2696 0.3733 O
0.7249 0.7304 0.6267 O
0.2249 0.2304 0.8733 O
0.2249 0.7696 0.1267 O
0.2751 0.7304 0.6267 O
0.2751 0.2696 0.3733 O



HfCoAs2 | Alexandria via LeMat-Bulk | GGA-PBEsol | optimized geometry; calculated total energy = -29.336 eV/cell; ΔH_f (0 K) = -0.22 eV per atom; mass density = 10350 kg/m³
1.0
-4.3651 0.8244 -0.1757
-2.6224 -1.1750 3.3922
-1.7799 3.1210 2.6183
Co As Hf
1 2 1
direct
0.0000 0.0000 0.0000 Co
0.2500 0.2500 0.2500 As
0.7500 0.7500 0.7500 As
0.5000 0.5000 0.5000 Hf



HfCoAs | Alexandria via LeMat-Bulk | GGA-PBEsol | optimized geometry; calculated total energy = -104.198 eV/cell; ΔH_f (0 K) = -0.90 eV per atom; mass density = 12012 kg/m³
1.0
-0.9998 -3.3327 1.4689
0.7209 -2.7398 -5.7253
6.8560 -1.3844 1.5258
Hf Co As
4 4 4
direct
0.7500 0.4805 0.1869 Hf
0.2500 0.5195 0.8131 Hf
0.7500 0.9805 0.3131 Hf
0.2500 0.0195 0.6869 Hf
0.7500 0.3612 0.5634 Co
0.2500 0.6388 0.4366 Co
0.7500 0.8612 0.9366 Co
0.2500 0.1388 0.0634 Co
0.2500 0.2685 0.3843 As
0.7500 0.7315 0.6157 As
0.2500 0.7685 0.1157 As
0.7500 0.2315 0.8843 As



> Which value of calculated total energy does entry 2 give?

-29.336 eV/cell



Repeat the second record exactly.
HfCoAs2 | Alexandria via LeMat-Bulk | GGA-PBEsol | optimized geometry; calculated total energy = -29.336 eV/cell; ΔH_f (0 K) = -0.22 eV per atom; mass density = 10350 kg/m³
1.0
-4.3651 0.8244 -0.1757
-2.6224 -1.1750 3.3922
-1.7799 3.1210 2.6183
Co As Hf
1 2 1
direct
0.0000 0.0000 0.0000 Co
0.2500 0.2500 0.2500 As
0.7500 0.7500 0.7500 As
0.5000 0.5000 0.5000 Hf